(1)
Entry from Alexandria: a relaxed KNdGe2I8 crystal (GGA-PBE).

Output
formation energy from raw total energies: -0.816 eV/atom
space group: P-1 (2)

a = 7.300 Å, b = 7.774 Å, c = 9.642 Å
α = 85.73°, β = 86.26°, γ = 86.38°
Fractional positions:
K  0.000  0.000  0.000
Nd  0.000  0.000  0.500
Ge  0.460  0.469  0.241
Ge  0.540  0.531  0.759
I  0.240  0.330  0.476
I  0.257  0.829  0.270
I  0.260  0.838  0.727
I  0.274  0.366  0.029
I  0.726  0.634  0.971
I  0.740  0.162  0.273
I  0.743  0.171  0.730
I  0.760  0.670  0.524

(2)
Entry from Alexandria: a relaxed LiCa2Cu3 crystal (GGA-PBE).

Output
space group: Cmcm (63)
formation enthalpy at 0 K: -0.90 kcal/mol of atoms

a = 8.037 Å, b = 8.037 Å, c = 4.865 Å
α = 90.00°, β = 90.00°, γ = 56.15°
Fractional positions:
Li  0.188  0.812  0.750
Li  0.812  0.188  0.250
Ca  0.038  0.655  0.250
Ca  0.345  0.962  0.250
Ca  0.655  0.038  0.750
Ca  0.962  0.345  0.750
Cu  0.286  0.415  0.750
Cu  0.415  0.286  0.250
Cu  0.500  0.500  0.000
Cu  0.500  0.500  0.500
Cu  0.585  0.714  0.750
Cu  0.714  0.585  0.250

(3)
Entry from Alexandria: a relaxed Na2Hg2Bi2Pb3 crystal (GGA-PBE).

Output
space group: I4/mmm (139)
formation enthalpy at 0 K: -0.01 kcal/mol of atoms

a = 9.653 Å, b = 9.653 Å, c = 9.653 Å
α = 143.84°, β = 143.84°, γ = 52.06°
Fractional positions:
Na  0.113  0.113  0.000
Na  0.887  0.887  0.000
Hg  0.000  0.500  0.500
Hg  0.500  0.000  0.500
Bi  0.318  0.318  0.000
Bi  0.682  0.682  0.000
Pb  0.250  0.750  0.500
Pb  0.500  0.500  0.000
Pb  0.750  0.250  0.500

(4)
Entry from Alexandria: a relaxed NaBi3Pd3 crystal (GGA-PBE).

Output
space group: C2/m (12)
formation enthalpy at 0 K: -5.96 kcal/mol of atoms
distance to the lowest polymorph of the same formula: 0.000 eV/atom

a = 6.959 Å, b = 6.959 Å, c = 6.877 Å
α = 94.78°, β = 94.78°, γ = 94.40°
Fractional positions:
Na  0.216  0.216  0.041
Na  0.784  0.784  0.959
Bi  0.178  0.178  0.509
Bi  0.264  0.736  0.000
Bi  0.321  0.679  0.500
Bi  0.679  0.321  0.500
Bi  0.736  0.264  0.000
Bi  0.822  0.822  0.491
Pd  0.010  0.477  0.725
Pd  0.435  0.435  0.795
Pd  0.477  0.010  0.725
Pd  0.523  0.990  0.275
Pd  0.565  0.565  0.205
Pd  0.990  0.523  0.275

(5)
Entry from Alexandria: a relaxed NdDyGa2Rh2 crystal (GGA-PBE).

Output
space group: P-3m1 (164)
formation enthalpy at 0 K: -18.44 kcal/mol of atoms

a = 4.406 Å, b = 4.406 Å, c = 7.307 Å
α = 90.00°, β = 90.00°, γ = 120.00°
Fractional positions:
Nd  0.000  0.000  0.000
Dy  0.000  0.000  0.500
Ga  0.333  0.667  0.267
Ga  0.667  0.333  0.733
Rh  0.333  0.667  0.720
Rh  0.667  0.333  0.280

(6)
Entry from Alexandria: a relaxed TbBCl crystal (GGA-PBE).

Output
formation energy from raw total energies: -0.774 eV/atom
space group: Immm (71)
distance to the lowest polymorph of the same formula: 0.492 eV/atom

a = 3.229 Å, b = 4.457 Å, c = 17.797 Å
α = 90.00°, β = 90.00°, γ = 90.00°
Fractional positions:
Tb  0.000  0.000  0.134
Tb  0.000  0.000  0.866
Tb  0.500  0.500  0.366
Tb  0.500  0.500  0.634
B  0.245  0.000  0.000
B  0.255  0.500  0.500
B  0.745  0.500  0.500
B  0.755  0.000  0.000
Cl  0.000  0.000  0.320
Cl  0.000  0.000  0.680
Cl  0.500  0.500  0.180
Cl  0.500  0.500  0.820

(7)
Entry from Alexandria: a relaxed Cd2SiOs crystal (GGA-PBE).

Output
formation energy from raw total energies: 0.529 eV/atom
space group: P2/m (10)

a = 2.888 Å, b = 5.385 Å, c = 4.517 Å
α = 90.00°, β = 91.18°, γ = 90.00°
Fractional positions:
Cd  0.250  0.000  0.249
Cd  0.750  0.000  0.751
Si  0.500  0.500  0.500
Os  0.000  0.500  0.000

(8)
Entry from Alexandria: a relaxed CePuScCd crystal (GGA-PBE).

Output
space group: F-43m (216)
formation enthalpy at 0 K: 0.08 kcal/mol of atoms

a = 7.386 Å, b = 7.386 Å, c = 7.386 Å
α = 90.00°, β = 90.00°, γ = 90.00°
Fractional positions:
Ce  0.000  0.000  0.000
Ce  0.000  0.500  0.500
Ce  0.500  0.000  0.500
Ce  0.500  0.500  0.000
Pu  0.250  0.250  0.750
Pu  0.250  0.750  0.250
Pu  0.750  0.250  0.250
Pu  0.750  0.750  0.750
Sc  0.000  0.000  0.500
Sc  0.000  0.500  0.000
Sc  0.500  0.000  0.000
Sc  0.500  0.500  0.500
Cd  0.250  0.250  0.250
Cd  0.250  0.750  0.750
Cd  0.750  0.250  0.750
Cd  0.750  0.750  0.250

(9)
Entry from Alexandria: a relaxed Hf2ScCuPt crystal (GGA-PBE).

Output
space group: P4/mmm (123)
formation enthalpy at 0 K: 7.54 kcal/mol of atoms

a = 4.795 Å, b = 4.795 Å, c = 4.706 Å
α = 90.00°, β = 90.00°, γ = 90.00°
Fractional positions:
Hf  0.000  0.500  0.000
Hf  0.500  0.000  0.000
Sc  0.000  0.000  0.500
Cu  0.000  0.000  0.000
Pt  0.500  0.500  0.500

(10)
Entry from Alexandria: a relaxed LiYTl2 crystal (GGA-PBE).

Output
space group: I-42d (122)
formation enthalpy at 0 K: 0.64 kcal/mol of atoms
distance to the lowest polymorph of the same formula: 0.357 eV/atom

a = 4.704 Å, b = 4.704 Å, c = 20.295 Å
α = 90.00°, β = 90.00°, γ = 90.00°
Fractional positions:
Li  0.000  0.000  0.000
Li  0.000  0.500  0.250
Li  0.500  0.000  0.750
Li  0.500  0.500  0.500
Y  0.000  0.000  0.500
Y  0.000  0.500  0.750
Y  0.500  0.000  0.250
Y  0.500  0.500  0.000
Tl  0.218  0.250  0.125
Tl  0.250  0.718  0.375
Tl  0.250  0.782  0.875
Tl  0.282  0.250  0.625
Tl  0.718  0.750  0.625
Tl  0.750  0.218  0.875
Tl  0.750  0.282  0.375
Tl  0.782  0.750  0.125

(11)
Entry from Alexandria: a relaxed YSn3B crystal (GGA-PBE).

Output
space group: Pm-3m (221)
formation enthalpy at 0 K: 7.03 kcal/mol of atoms
distance to the lowest polymorph of the same formula: 0.000 eV/atom

a = 4.920 Å, b = 4.920 Å, c = 4.920 Å
α = 90.00°, β = 90.00°, γ = 90.00°
Fractional positions:
Y  0.000  0.000  0.000
Sn  0.000  0.500  0.500
Sn  0.500  0.000  0.500
Sn  0.500  0.500  0.000
B  0.500  0.500  0.500

(12)
Entry from Alexandria: a relaxed CsCd2Pb2 crystal (GGA-PBE).

Output
space group: P4/nmm (129)
formation enthalpy at 0 K: -2.07 kcal/mol of atoms
distance to the lowest polymorph of the same formula: 0.008 eV/atom

a = 5.188 Å, b = 5.188 Å, c = 12.957 Å
α = 90.00°, β = 90.00°, γ = 90.00°
Fractional positions:
Cs  0.250  0.250  0.245
Cs  0.750  0.750  0.755
Cd  0.250  0.250  0.637
Cd  0.250  0.750  0.000
Cd  0.750  0.250  0.000
Cd  0.750  0.750  0.363
Pb  0.250  0.250  0.872
Pb  0.250  0.750  0.500
Pb  0.750  0.250  0.500
Pb  0.750  0.750  0.128

no.,magnetization (μB/cell)
1,0.0
2,0.0
3,0.0
4,0.0
5,0.0
6,0.0
7,0.3
8,35.7
9,0.0
10,0.0
11,0.0
12,0.0